An optimized crystal structure of CsTaSnO4. Source: Alexandria via LeMat-Bulk, functional PBE.

a b c (Å): 6.7562 6.7562 6.7562
angles (deg): 60.00 60.00 60.00
Last column: nearest neighbours and their distance in Å.
Fractional positions:
Sn: 0.5000 0.5000 0.5000  4 O 2.27
Ta: 0.2500 0.2500 0.2500  4 O 1.87
O: 0.3629 0.9112 0.3629  1 Ta 1.87
O: 0.3629 0.3629 0.3629  1 Ta 1.87
O: 0.9112 0.3629 0.3629  1 Ta 1.87
Cs: 0.7500 0.7500 0.7500  12 O 4.00, 4 Sn 4.14
O: 0.3629 0.3629 0.9112  1 Ta 1.87

Values from the calculation:
- E (eV per atom) = -7.251
- symmetry = F-43m (216)